Arrangement 1

The following is a PBE calculation of a relaxed AcHgI2 crystal, from Alexandria via LeMat-Bulk.

The structure belongs to space group P4/mmm (No. 123); the cell edges are 4.056, 4.056 and 10.222 Å and the angles 90.00°, 90.00° and 90.00°. The distinct sites, in fractional coordinates, are Ac at (0.000, 0.000, 0.000), Hg at (0.000, 0.000, 0.500) and I at (0.500, 0.500, 0.191).

***

Arrangement 2

The following is a PBE calculation of a relaxed AcHgI2 crystal, from Alexandria via LeMat-Bulk.

The structure belongs to space group R-3m (No. 166, hexagonal axes); the cell edges are 4.3680, 4.3680 and 38.2833 Å and the angles 90.00°, 90.00° and 120.00°. The distinct sites, in fractional coordinates, are Ac at (0.0000, 0.0000, 0.0000), Hg at (0.0000, 0.0000, 0.5000) and I at (0.0000, 0.0000, 0.3912).

***

So which one is most stable? That would be arrangement 1, about 4.6 kJ/mol of atoms below the next structure.

***

Arrangement 1

The following is a PBE calculation of a relaxed AcIn6Hg12 crystal, from Alexandria via LeMat-Bulk.

The structure belongs to space group R-3 (No. 148, hexagonal axes); the cell edges are 14.4702, 14.4702 and 8.4327 Å and the angles 90.00°, 90.00° and 120.00°. The distinct sites, in fractional coordinates, are Ac at (0.0000, 0.0000, 0.0000), In at (0.0321, 0.2701, 0.3222), Hg at (0.0169, 0.1447, 0.6624) and Hg at (0.0627, 0.5689, 0.6746).

***

Arrangement 2

The following is a PBE calculation of a relaxed AcIn6Hg12 crystal, from Alexandria via LeMat-Bulk.

The structure belongs to space group R-3m (No. 166, hexagonal axes); the cell edges are 13.7167, 13.7167 and 9.8924 Å and the angles 90.00°, 90.00° and 120.00°. The distinct sites, in fractional coordinates, are Ac at (0.0000, 0.0000, 0.0000), In at (0.0558, 0.5279, 0.2258), Hg at (0.0000, 0.3914, 0.5000) and Hg at (0.0798, 0.1597, 0.2845).

***

So which one is most stable? That would be arrangement 1, about 6.3 kJ/mol of atoms below the next structure.